No. 1
Here is an optimized crystal structure of CsBaMn2Re from Alexandria. Energies are from GGA-PBE.

abc: 5.663 5.663 5.474
angles: 90.00 90.00 90.00
Space group P4/mmm (No. 123)
Asymmetric unit:
Cs (0.000, 0.000, 0.000)
Ba (0.500, 0.500, 0.500)
Mn (0.000, 0.500, 0.000)
Re (0.000, 0.000, 0.500)

## Properties
Its spin magnetization is 11.3 Bohr magnetons per cell. The calculation puts the formation energy at 11.6 eV/f.u.

***

No. 2
Here is an optimized crystal structure of Cs2BaMnRe from Alexandria. Energies are from GGA-PBE.

abc: 5.637 5.637 6.041
angles: 90.00 90.00 90.00
Space group P4/mmm (No. 123)
Asymmetric unit:
Cs (0.000, 0.500, 0.000)
Ba (0.000, 0.000, 0.500)
Mn (0.000, 0.000, 0.000)
Re (0.500, 0.500, 0.500)

## Properties
Its spin magnetization is 3.1 Bohr magnetons per cell. The calculation puts the formation energy at 10.8 eV/f.u.

***

No. 3
Here is an optimized crystal structure of Cs2BaMnRh from Alexandria. Energies are from GGA-PBE.

abc: 6.609 6.609 5.013
angles: 90.00 90.00 90.00
Space group P4/mmm (No. 123)
Asymmetric unit:
Cs (0.000, 0.500, 0.000)
Ba (0.000, 0.000, 0.500)
Mn (0.500, 0.500, 0.500)
Rh (0.500, 0.500, 0.000)

## Properties
Its spin magnetization is 4.1 Bohr magnetons per cell. The calculation puts the formation energy at 3.6 eV/f.u.

***

No. 4
Here is an optimized crystal structure of Cs2BaMnS4 from Alexandria. Energies are from GGA-PBE.

abc: 8.626 10.248 6.669
angles: 90.00 90.00 90.00
Space group Pmn2_1 (No. 31)
Asymmetric unit:
Cs (0.220, 0.137, 0.000)
Ba (0.000, 0.401, 0.485)
Mn (0.000, 0.665, 0.931)
S (0.000, 0.450, 0.986)
S (0.000, 0.676, 0.608)
S (0.205, 0.786, 0.011)

## Properties
Its spin magnetization is 6.0 Bohr magnetons per cell. As for the formation energy from raw total energies: -1050.1 meV/atom.

***

No. 5
Here is an optimized crystal structure of CsBaMnS4 from Alexandria. Energies are from GGA-PBE.

abc: 6.801 6.840 9.933
angles: 90.00 107.53 90.00
Space group P2_1/m (No. 11)
Asymmetric unit:
Cs (0.202, 0.250, 0.427)
Ba (0.272, 0.250, 0.967)
Mn (0.318, 0.750, 0.197)
S (0.108, 0.750, 0.315)
S (0.172, 0.750, 0.975)
S (0.486, 0.004, 0.757)

## Properties
Its spin magnetization is 4.0 Bohr magnetons per cell. As for the formation energy from raw total energies: -1144.1 meV/atom.

***

No. 6
Here is an optimized crystal structure of Cs2BaMnV from Alexandria. Energies are from GGA-PBE.

abc: 7.323 7.323 4.733
angles: 90.00 90.00 90.00
Space group P4/mmm (No. 123)
Asymmetric unit:
Cs (0.000, 0.500, 0.000)
Ba (0.000, 0.000, 0.500)
Mn (0.500, 0.500, 0.500)
V (0.500, 0.500, 0.000)

## Properties
Its spin magnetization is 0.1 Bohr magnetons per cell. The calculation puts the formation energy at 5.1 eV/f.u.